The following is a DFT calculation (GGA-PBEsol) of ReTc after structural relaxation.

Unit cell a=2.726 b=2.726 c=7.720 alpha=90.00 beta=90.00 gamma=90.00
Element x y z (fractional)
Re 0.250 0.250 0.127
Re 0.750 0.750 0.873
Tc 0.250 0.250 0.624
Tc 0.750 0.750 0.376

Summary:
Energy of formation = 70 meV/atom
Fermi-level density of states = 3.79 states/eV/cell
Final energy = -12.229 eV/atom

=====

The following is a DFT calculation (GGA-PBEsol) of Ti3ReO after structural relaxation.

Unit cell a=4.053 b=4.053 c=4.053 alpha=90.00 beta=90.00 gamma=90.00
Element x y z (fractional)
Ti 0.000 0.000 0.500
Ti 0.000 0.500 0.000
Ti 0.500 0.000 0.000
Re 0.500 0.500 0.500
O 0.000 0.000 0.000

Summary:
ΔE_f (raw) = -1109 meV/atom
Fermi-level density of states = 7.21 states/eV/cell
Final energy = -9.819 eV/atom

=====

The following is a DFT calculation (GGA-PBEsol) of MoRu2 after structural relaxation.

Unit cell a=5.118 b=5.118 c=6.414 alpha=103.35 beta=103.35 gamma=30.82
Element x y z (fractional)
Mo 0.000 0.000 0.000
Mo 0.674 0.674 0.342
Ru 0.058 0.058 0.618
Ru 0.336 0.336 0.674
Ru 0.393 0.393 0.286
Ru 0.726 0.726 0.949

Summary:
Energy of formation = 5 meV/atom
Fermi-level density of states = 5.01 states/eV/cell
Final energy = -10.699 eV/atom

=====

The following is a DFT calculation (GGA-PBEsol) of InAgB2Mo after structural relaxation.

Unit cell a=4.301 b=4.301 c=5.024 alpha=90.00 beta=90.00 gamma=90.00
Element x y z (fractional)
In 0.000 0.000 0.000
Ag 0.000 0.000 0.500
B 0.000 0.500 0.000
B 0.500 0.000 0.000
Mo 0.500 0.500 0.500

Summary:
Energy of formation = 2340 meV/atom
Fermi-level density of states = 3.56 states/eV/cell
Final energy = -4.079 eV/atom

=====

The following is a DFT calculation (GGA-PBEsol) of YTiGe after structural relaxation.

Unit cell a=4.008 b=4.008 c=7.585 alpha=90.00 beta=90.00 gamma=90.00
Element x y z (fractional)
Y 0.250 0.250 0.157
Y 0.750 0.750 0.843
Ti 0.250 0.750 0.500
Ti 0.750 0.250 0.500
Ge 0.250 0.250 0.743
Ge 0.750 0.750 0.257

Summary:
Energy of formation = -754 meV/atom
Fermi-level density of states = 6.00 states/eV/cell
Final energy = -7.448 eV/atom

=====

The following is a DFT calculation (GGA-PBEsol) of ScMn2Ni after structural relaxation.

Unit cell a=2.906 b=2.906 c=6.230 alpha=90.00 beta=90.00 gamma=90.00
Element x y z (fractional)
Sc 0.000 0.000 0.000
Mn 0.000 0.000 0.494
Mn 0.500 0.500 0.297
Ni 0.500 0.500 0.718

Summary:
Energy of formation = -34 meV/atom
Fermi-level density of states = 3.25 states/eV/cell
Final energy = -8.105 eV/atom

=====

The following is a DFT calculation (GGA-PBEsol) of Li2ScPd2 after structural relaxation.

Unit cell a=4.997 b=4.997 c=4.997 alpha=127.77 beta=127.77 gamma=77.00
Element x y z (fractional)
Li 0.132 0.132 0.000
Li 0.868 0.868 0.000
Sc 0.500 0.500 0.000
Pd 0.250 0.750 0.500
Pd 0.750 0.250 0.500

Summary:
Energy of formation = -345 meV/atom
Fermi-level density of states = 3.05 states/eV/cell
Final energy = -4.836 eV/atom

=====

The following is a DFT calculation (GGA-PBEsol) of CoSiTc2 after structural relaxation.

Unit cell a=4.147 b=4.147 c=4.147 alpha=60.00 beta=60.00 gamma=60.00
Element x y z (fractional)
Co 0.000 0.000 0.000
Si 0.250 0.250 0.250
Tc 0.500 0.500 0.500
Tc 0.750 0.750 0.750

Summary:
ΔE_f (raw) = -128 meV/atom
Fermi-level density of states = 3.14 states/eV/cell
Final energy = -9.132 eV/atom

=====

The following is a DFT calculation (GGA-PBEsol) of ZnAg2P after structural relaxation.

Unit cell a=2.924 b=3.759 c=5.649 alpha=90.00 beta=90.00 gamma=90.00
Element x y z (fractional)
Zn 0.000 0.000 0.000
Ag 0.500 0.500 0.246
Ag 0.500 0.500 0.754
P 0.000 0.000 0.500

Summary:
Energy of formation = 150 meV/atom
Fermi-level density of states = 1.22 states/eV/cell
Final energy = -3.349 eV/atom

=====

The following is a DFT calculation (GGA-PBEsol) of Li5GeAs3 after structural relaxation.

Unit cell a=7.285 b=7.285 c=8.562 alpha=106.62 beta=106.62 gamma=48.62
Element x y z (fractional)
Li 0.078 0.589 0.914
Li 0.083 0.592 0.429
Li 0.250 0.750 0.750
Li 0.408 0.917 0.071
Li 0.411 0.922 0.586
Li 0.589 0.078 0.414
Li 0.592 0.083 0.929
Li 0.750 0.250 0.250
Li 0.917 0.408 0.571
Li 0.922 0.411 0.086
Ge 0.240 0.760 0.250
Ge 0.760 0.240 0.750
As 0.141 0.182 0.825
As 0.182 0.141 0.325
As 0.500 0.500 0.000
As 0.500 0.500 0.500
As 0.818 0.859 0.675
As 0.859 0.818 0.175

Summary:
Energy of formation = -508 meV/atom
Fermi-level density of states = 4.63 states/eV/cell
Final energy = -3.851 eV/atom

=====

The following is a DFT calculation (GGA-PBEsol) of BaZrNb2F after structural relaxation.

Unit cell a=4.428 b=4.428 c=5.104 alpha=90.00 beta=90.00 gamma=90.00
Element x y z (fractional)
Ba 0.000 0.000 0.000
Zr 0.500 0.500 0.000
Nb 0.000 0.500 0.500
Nb 0.500 0.000 0.500
F 0.000 0.000 0.500

Summary:
ΔE_f (raw) = 151 meV/atom
Fermi-level density of states = 5.70 states/eV/cell
Final energy = -6.811 eV/atom

=====

The following is a DFT calculation (GGA-PBEsol) of Li3ClO after structural relaxation.

Unit cell a=3.837 b=3.837 c=3.837 alpha=90.00 beta=90.00 gamma=90.00
Element x y z (fractional)
Li 0.000 0.000 0.500
Li 0.000 0.500 0.000
Li 0.500 0.000 0.000
Cl 0.500 0.500 0.500
O 0.000 0.000 0.000

Summary:
ΔE_f (raw) = -1833 meV/atom
Fermi-level density of states = 0.00 states/eV/cell
Final energy = -4.464 eV/atom

=====

Among the records above, which one has the highest Fermi-level density of states? Ti3ReO